No. 1
The following is a PBE calculation of an optimized crystal structure of SiNiOs2, from the Alexandria database.

Structure (CIF):
```
data_SiNiOs2
_chemical_formula_sum 'Si1 Ni1 Os2'
_space_group_name_H-M_alt 'P 1'
_space_group_IT_number 1
_cell_length_a 4.5857
_cell_length_b 4.5857
_cell_length_c 4.4036
_cell_angle_alpha 79.16
_cell_angle_beta 79.16
_cell_angle_gamma 35.10
loop_
_space_group_symop_operation_xyz
'x,y,z'
loop_
_atom_site_label
_atom_site_type_symbol
_atom_site_fract_x
_atom_site_fract_y
_atom_site_fract_z
Os1 Os 0.7529 0.7529 0.7615
Os2 Os 0.0024 0.0024 0.9948
Ni1 Ni 0.2456 0.2456 0.2647
Si1 Si 0.4990 0.4990 0.4790
```

Output
E, Ry per atom: -0.620
Space group: No. 8

No. 2
The following is a PBE calculation of an optimized crystal structure of Si3NiOs, from the Alexandria database.

Structure (CIF):
```
data_Si3NiOs
_chemical_formula_sum 'Si3 Ni1 Os1'
_space_group_name_H-M_alt 'P 1'
_space_group_IT_number 1
_cell_length_a 4.5986
_cell_length_b 4.5986
_cell_length_c 4.5986
_cell_angle_alpha 90.00
_cell_angle_beta 90.00
_cell_angle_gamma 90.00
loop_
_space_group_symop_operation_xyz
'x,y,z'
loop_
_atom_site_label
_atom_site_type_symbol
_atom_site_fract_x
_atom_site_fract_y
_atom_site_fract_z
Ni1 Ni 0.5000 0.5000 0.5000
Os1 Os 0.0000 0.0000 0.0000
Si1 Si 0.0000 0.5000 0.0000
Si2 Si 0.0000 0.0000 0.5000
Si3 Si 0.5000 0.0000 0.0000
```

Output
E, Ry per atom: -0.433
Space group: No. 221

No. 3
The following is a PBE calculation of an optimized crystal structure of Si2NiOs, from the Alexandria database.

Structure (CIF):
```
data_Si2NiOs
_chemical_formula_sum 'Si2 Ni1 Os1'
_space_group_name_H-M_alt 'P 1'
_space_group_IT_number 1
_cell_length_a 2.9689
_cell_length_b 2.9689
_cell_length_c 5.5333
_cell_angle_alpha 90.00
_cell_angle_beta 90.00
_cell_angle_gamma 90.00
loop_
_space_group_symop_operation_xyz
'x,y,z'
loop_
_atom_site_label
_atom_site_type_symbol
_atom_site_fract_x
_atom_site_fract_y
_atom_site_fract_z
Si1 Si 0.0000 0.0000 0.0164
Si2 Si 0.0000 0.0000 0.4836
Os1 Os 0.5000 0.5000 0.7500
Ni1 Ni 0.5000 0.5000 0.2500
```

Output
E, Ry per atom: -0.534
Space group: No. 123

No. 4
The following is a PBE calculation of an optimized crystal structure of SiNiOs2, from the Alexandria database.

Structure (CIF):
```
data_SiNiOs2
_chemical_formula_sum 'Si1 Ni1 Os2'
_space_group_name_H-M_alt 'P 1'
_space_group_IT_number 1
_cell_length_a 2.6997
_cell_length_b 2.6997
_cell_length_c 8.3040
_cell_angle_alpha 90.00
_cell_angle_beta 90.00
_cell_angle_gamma 117.24
loop_
_space_group_symop_operation_xyz
'x,y,z'
loop_
_atom_site_label
_atom_site_type_symbol
_atom_site_fract_x
_atom_site_fract_y
_atom_site_fract_z
Os1 Os 0.0000 0.0000 0.9921
Os2 Os 0.5000 0.5000 0.2729
Ni1 Ni 0.5000 0.5000 0.7242
Si1 Si 0.0000 0.0000 0.5108
```

Output
E, Ry per atom: -0.597
Space group: No. 35

No. 5
The following is a PBE calculation of an optimized crystal structure of Si2NiOs, from the Alexandria database.

Structure (CIF):
```
data_Si2NiOs
_chemical_formula_sum 'Si4 Ni2 Os2'
_space_group_name_H-M_alt 'P 1'
_space_group_IT_number 1
_cell_length_a 3.8153
_cell_length_b 3.8153
_cell_length_c 8.1931
_cell_angle_alpha 76.54
_cell_angle_beta 76.54
_cell_angle_gamma 90.00
loop_
_space_group_symop_operation_xyz
'x,y,z'
loop_
_atom_site_label
_atom_site_type_symbol
_atom_site_fract_x
_atom_site_fract_y
_atom_site_fract_z
Si1 Si 0.8750 0.8441 0.7500
Si2 Si 0.5941 0.1250 0.2500
Si3 Si 0.3750 0.4059 0.7500
Si4 Si 0.1559 0.6250 0.2500
Os1 Os 0.7500 0.2500 0.5000
Os2 Os 0.0000 0.0000 0.0000
Ni1 Ni 0.5000 0.5000 0.0000
Ni2 Ni 0.2500 0.7500 0.5000
```

Output
E, Ry per atom: -0.509
Space group: No. 122

No. 6
The following is a PBE calculation of an optimized crystal structure of SiNiOs, from the Alexandria database.

Structure (CIF):
```
data_SiNiOs
_chemical_formula_sum 'Si2 Ni2 Os2'
_space_group_name_H-M_alt 'P 1'
_space_group_IT_number 1
_cell_length_a 4.4422
_cell_length_b 2.7791
_cell_length_c 6.4709
_cell_angle_alpha 77.56
_cell_angle_beta 104.34
_cell_angle_gamma 89.96
loop_
_space_group_symop_operation_xyz
'x,y,z'
loop_
_atom_site_label
_atom_site_type_symbol
_atom_site_fract_x
_atom_site_fract_y
_atom_site_fract_z
Os1 Os 0.1527 0.4807 0.4084
Os2 Os 0.2068 0.1574 0.0557
Ni1 Ni 0.7621 0.3460 0.6784
Ni2 Ni 0.7218 0.6699 0.0317
Si1 Si 0.6766 0.0082 0.3553
Si2 Si 0.2980 0.8137 0.7425
```

Output
E, Ry per atom: -0.566
Space group: No. 8

No. 7
The following is a PBE calculation of an optimized crystal structure of Sm2Si3Ni12Os, from the Alexandria database.

Structure (CIF):
```
data_Sm2Si3Ni12Os
_chemical_formula_sum 'Sm2 Si3 Ni12 Os1'
_space_group_name_H-M_alt 'P 1'
_space_group_IT_number 1
_cell_length_a 7.1845
_cell_length_b 7.1845
_cell_length_c 7.1845
_cell_angle_alpha 64.00
_cell_angle_beta 64.00
_cell_angle_gamma 64.00
loop_
_space_group_symop_operation_xyz
'x,y,z'
loop_
_atom_site_label
_atom_site_type_symbol
_atom_site_fract_x
_atom_site_fract_y
_atom_site_fract_z
Ni1 Ni 0.6421 0.6421 0.0783
Ni2 Ni 0.8644 0.8644 0.3812
Ni3 Ni 0.6421 0.0783 0.6421
Ni4 Ni 0.3812 0.8644 0.8644
Ni5 Ni 0.3579 0.3579 0.9217
Ni6 Ni 0.9217 0.3579 0.3579
Ni7 Ni 0.1356 0.1356 0.6188
Ni8 Ni 0.6188 0.1356 0.1356
Ni9 Ni 0.3579 0.9217 0.3579
Ni10 Ni 0.1356 0.6188 0.1356
Ni11 Ni 0.8644 0.3812 0.8644
Ni12 Ni 0.0783 0.6421 0.6421
Si1 Si 0.0000 0.0000 0.5000
Si2 Si 0.5000 0.0000 0.0000
Si3 Si 0.0000 0.5000 0.0000
Sm1 Sm 0.6054 0.6054 0.6054
Sm2 Sm 0.3946 0.3946 0.3946
Os1 Os 0.0000 0.0000 0.0000
```

Output
E, Ry per atom: -0.420
Space group: No. 166

No. 8
The following is a PBE calculation of an optimized crystal structure of Sm2Si4Ni3Os, from the Alexandria database.

Structure (CIF):
```
data_Sm2Si4Ni3Os
_chemical_formula_sum 'Sm2 Si4 Ni3 Os1'
_space_group_name_H-M_alt 'P 1'
_space_group_IT_number 1
_cell_length_a 4.0223
_cell_length_b 4.0223
_cell_length_c 9.7492
_cell_angle_alpha 90.00
_cell_angle_beta 90.00
_cell_angle_gamma 90.00
loop_
_space_group_symop_operation_xyz
'x,y,z'
loop_
_atom_site_label
_atom_site_type_symbol
_atom_site_fract_x
_atom_site_fract_y
_atom_site_fract_z
Si1 Si 0.5000 0.5000 0.0000
Si2 Si 0.0000 0.5000 0.3661
Si3 Si 0.0000 0.0000 0.0000
Si4 Si 0.5000 0.0000 0.6339
Sm1 Sm 0.5000 0.0000 0.2403
Sm2 Sm 0.0000 0.5000 0.7597
Os1 Os 0.5000 0.5000 0.5000
Ni1 Ni 0.5000 0.0000 0.8774
Ni2 Ni 0.0000 0.5000 0.1226
Ni3 Ni 0.0000 0.0000 0.5000
```

Output
E, Ry per atom: -0.498
Space group: No. 115

No. 9
The following is a PBE calculation of an optimized crystal structure of SmSi4Ni2Os, from the Alexandria database.

Structure (CIF):
```
data_SmSi4Ni2Os
_chemical_formula_sum 'Sm1 Si4 Ni2 Os1'
_space_group_name_H-M_alt 'P 1'
_space_group_IT_number 1
_cell_length_a 3.9788
_cell_length_b 3.9788
_cell_length_c 9.0236
_cell_angle_alpha 77.26
_cell_angle_beta 77.26
_cell_angle_gamma 60.00
loop_
_space_group_symop_operation_xyz
'x,y,z'
loop_
_atom_site_label
_atom_site_type_symbol
_atom_site_fract_x
_atom_site_fract_y
_atom_site_fract_z
Ni1 Ni 0.2319 0.2319 0.3043
Ni2 Ni 0.7681 0.7681 0.6957
Os1 Os 0.5000 0.5000 0.5000
Si1 Si 0.4038 0.4038 0.7887
Si2 Si 0.1252 0.1252 0.6243
Si3 Si 0.5962 0.5962 0.2113
Si4 Si 0.8748 0.8748 0.3757
Sm1 Sm 0.0000 0.0000 0.0000
```

Output
E, Ry per atom: -0.485
Space group: No. 166

No. 10
The following is a PBE calculation of an optimized crystal structure of SrSi2NiOs, from the Alexandria database.

Structure (CIF):
```
data_SrSi2NiOs
_chemical_formula_sum 'Sr1 Si2 Ni1 Os1'
_space_group_name_H-M_alt 'P 1'
_space_group_IT_number 1
_cell_length_a 4.0553
_cell_length_b 4.0553
_cell_length_c 6.0799
_cell_angle_alpha 109.48
_cell_angle_beta 109.48
_cell_angle_gamma 90.00
loop_
_space_group_symop_operation_xyz
'x,y,z'
loop_
_atom_site_label
_atom_site_type_symbol
_atom_site_fract_x
_atom_site_fract_y
_atom_site_fract_z
Os1 Os 0.2500 0.7500 0.5000
Sr1 Sr 0.0000 0.0000 0.0000
Si1 Si 0.3648 0.3648 0.7295
Si2 Si 0.6352 0.6352 0.2705
Ni1 Ni 0.7500 0.2500 0.5000
```

Output
E, Ry per atom: -0.473
Space group: No. 119